[1]
# LiCaV GGA-PBE relaxed
# D(E_F): 10.12 states/eV per cell
# Energy of formation from the pure elements: 174 kJ/mol of atoms
# ρ: 1.309 g/cm3
data_LiCaV
_chemical_formula_sum 'Li2 Ca2 V2'
_symmetry_space_group_name_H-M 'P 1'
_symmetry_Int_Tables_number 1
_cell_length_a 4.960
_cell_length_b 4.960
_cell_length_c 11.664
_cell_angle_alpha 90.00
_cell_angle_beta 90.00
_cell_angle_gamma 120.00
loop_
_symmetry_equiv_pos_as_xyz
'x,y,z'
loop_
_atom_site_label
_atom_site_type_symbol
_atom_site_fract_x
_atom_site_fract_y
_atom_site_fract_z
_atom_site_occupancy
Li1 Li 0.333 0.667 0.250 1
Li2 Li 0.667 0.333 0.750 1
Ca1 Ca 0.000 0.000 0.250 1
Ca2 Ca 0.000 0.000 0.750 1
V1 V 0.000 0.000 0.000 1
V2 V 0.000 0.000 0.500 1

***

[2]
# LiCaV GGA-PBE relaxed
# D(E_F): 12.32 states/eV per cell
# Energy of formation from the pure elements: 45 kJ/mol of atoms
# ρ: 2.354 g/cm3
data_LiCaV
_chemical_formula_sum 'Li4 Ca4 V4'
_symmetry_space_group_name_H-M 'P 1'
_symmetry_Int_Tables_number 1
_cell_length_a 6.869
_cell_length_b 3.876
_cell_length_c 10.380
_cell_angle_alpha 90.00
_cell_angle_beta 90.00
_cell_angle_gamma 90.00
loop_
_symmetry_equiv_pos_as_xyz
'x,y,z'
loop_
_atom_site_label
_atom_site_type_symbol
_atom_site_fract_x
_atom_site_fract_y
_atom_site_fract_z
_atom_site_occupancy
Li1 Li 0.131 0.250 0.062 1
Li2 Li 0.369 0.750 0.562 1
Li3 Li 0.631 0.250 0.438 1
Li4 Li 0.869 0.750 0.938 1
Ca1 Ca 0.193 0.250 0.774 1
Ca2 Ca 0.307 0.750 0.274 1
Ca3 Ca 0.693 0.250 0.726 1
Ca4 Ca 0.807 0.750 0.226 1
V1 V 0.044 0.250 0.472 1
V2 V 0.456 0.750 0.972 1
V3 V 0.544 0.250 0.028 1
V4 V 0.956 0.750 0.528 1

***

[3]
# LiCaV GGA-PBE relaxed
# D(E_F): 4.99 states/eV per cell
# Energy of formation from the pure elements: 65 kJ/mol of atoms
# ρ: 2.064 g/cm3
data_LiCaV
_chemical_formula_sum 'Li2 Ca2 V2'
_symmetry_space_group_name_H-M 'P 1'
_symmetry_Int_Tables_number 1
_cell_length_a 5.147
_cell_length_b 5.147
_cell_length_c 6.873
_cell_angle_alpha 90.00
_cell_angle_beta 90.00
_cell_angle_gamma 120.00
loop_
_symmetry_equiv_pos_as_xyz
'x,y,z'
loop_
_atom_site_label
_atom_site_type_symbol
_atom_site_fract_x
_atom_site_fract_y
_atom_site_fract_z
_atom_site_occupancy
Li1 Li 0.000 0.000 0.000 1
Li2 Li 0.000 0.000 0.500 1
Ca1 Ca 0.667 0.333 0.239 1
Ca2 Ca 0.667 0.333 0.761 1
V1 V 0.333 0.667 0.132 1
V2 V 0.333 0.667 0.868 1

***

[4]
# LiCaV GGA-PBE relaxed
# D(E_F): 4.60 states/eV per cell
# Energy of formation from the pure elements: 40 kJ/mol of atoms
# ρ: 2.402 g/cm3
data_LiCaV
_chemical_formula_sum 'Li2 Ca2 V2'
_symmetry_space_group_name_H-M 'P 1'
_symmetry_Int_Tables_number 1
_cell_length_a 3.217
_cell_length_b 6.197
_cell_length_c 7.513
_cell_angle_alpha 108.57
_cell_angle_beta 95.68
_cell_angle_gamma 103.73
loop_
_symmetry_equiv_pos_as_xyz
'x,y,z'
loop_
_atom_site_label
_atom_site_type_symbol
_atom_site_fract_x
_atom_site_fract_y
_atom_site_fract_z
_atom_site_occupancy
Li1 Li 0.000 0.000 0.000 1
Li2 Li 0.415 0.126 0.763 1
Ca1 Ca 0.740 0.168 0.416 1
Ca2 Ca 0.918 0.564 0.156 1
V1 V 0.306 0.608 0.777 1
V2 V 0.569 0.673 0.577 1

***

[5]
# LiCa3V GGA-PBE relaxed
# D(E_F): 6.20 states/eV per cell
# Energy of formation from the pure elements: 75 kJ/mol of atoms
# ρ: 1.676 g/cm3
data_LiCa3V
_chemical_formula_sum 'Li1 Ca3 V1'
_symmetry_space_group_name_H-M 'P 1'
_symmetry_Int_Tables_number 1
_cell_length_a 5.609
_cell_length_b 5.609
_cell_length_c 5.609
_cell_angle_alpha 90.00
_cell_angle_beta 90.00
_cell_angle_gamma 90.00
loop_
_symmetry_equiv_pos_as_xyz
'x,y,z'
loop_
_atom_site_label
_atom_site_type_symbol
_atom_site_fract_x
_atom_site_fract_y
_atom_site_fract_z
_atom_site_occupancy
Li1 Li 0.000 0.000 0.000 1
Ca1 Ca 0.000 0.000 0.500 1
Ca2 Ca 0.000 0.500 0.000 1
Ca3 Ca 0.500 0.000 0.000 1
V1 V 0.500 0.500 0.500 1

***

[6]
# LiCaV GGA-PBE relaxed
# D(E_F): 5.60 states/eV per cell
# Energy of formation from the pure elements: 38 kJ/mol of atoms
# ρ: 2.367 g/cm3
data_LiCaV
_chemical_formula_sum 'Li2 Ca2 V2'
_symmetry_space_group_name_H-M 'P 1'
_symmetry_Int_Tables_number 1
_cell_length_a 3.219
_cell_length_b 5.663
_cell_length_c 7.934
_cell_angle_alpha 105.58
_cell_angle_beta 92.54
_cell_angle_gamma 97.97
loop_
_symmetry_equiv_pos_as_xyz
'x,y,z'
loop_
_atom_site_label
_atom_site_type_symbol
_atom_site_fract_x
_atom_site_fract_y
_atom_site_fract_z
_atom_site_occupancy
Li1 Li 0.220 0.383 0.106 1
Li2 Li 0.780 0.617 0.894 1
Ca1 Ca 0.483 0.987 0.269 1
Ca2 Ca 0.517 0.013 0.731 1
V1 V 0.136 0.413 0.568 1
V2 V 0.864 0.587 0.432 1

***

[7]
# LiCaV2 GGA-PBE relaxed
# D(E_F): 7.81 states/eV per cell
# Energy of formation from the pure elements: 100 kJ/mol of atoms
# ρ: 2.766 g/cm3
data_LiCaV2
_chemical_formula_sum 'Li1 Ca1 V2'
_symmetry_space_group_name_H-M 'P 1'
_symmetry_Int_Tables_number 1
_cell_length_a 5.019
_cell_length_b 5.019
_cell_length_c 5.019
_cell_angle_alpha 60.00
_cell_angle_beta 60.00
_cell_angle_gamma 60.00
loop_
_symmetry_equiv_pos_as_xyz
'x,y,z'
loop_
_atom_site_label
_atom_site_type_symbol
_atom_site_fract_x
_atom_site_fract_y
_atom_site_fract_z
_atom_site_occupancy
Li1 Li 0.000 0.000 0.000 1
Ca1 Ca 0.500 0.500 0.500 1
V1 V 0.250 0.250 0.250 1
V2 V 0.750 0.750 0.750 1

***

[8]
# Li2CaV GGA-PBE relaxed
# D(E_F): 5.91 states/eV per cell
# Energy of formation from the pure elements: 61 kJ/mol of atoms
# ρ: 1.839 g/cm3
data_Li2CaV
_chemical_formula_sum 'Li4 Ca2 V2'
_symmetry_space_group_name_H-M 'P 1'
_symmetry_Int_Tables_number 1
_cell_length_a 6.352
_cell_length_b 6.352
_cell_length_c 6.352
_cell_angle_alpha 103.35
_cell_angle_beta 103.35
_cell_angle_gamma 122.55
loop_
_symmetry_equiv_pos_as_xyz
'x,y,z'
loop_
_atom_site_label
_atom_site_type_symbol
_atom_site_fract_x
_atom_site_fract_y
_atom_site_fract_z
_atom_site_occupancy
Li1 Li 0.094 0.125 0.469 1
Li2 Li 0.375 0.906 0.031 1
Li3 Li 0.656 0.625 0.531 1
Li4 Li 0.875 0.344 0.969 1
Ca1 Ca 0.250 0.750 0.500 1
Ca2 Ca 0.500 0.500 0.000 1
V1 V 0.000 0.000 0.000 1
V2 V 0.750 0.250 0.500 1